# GGA-PBE NaPdBr2F, relaxed
data_NaPdBr2F
_chemical_formula_sum 'Na1 Pd1 Br2 F1'
_cell_length_a 5.236
_cell_length_b 5.236
_cell_length_c 4.210
_cell_angle_alpha 90.00
_cell_angle_beta 90.00
_cell_angle_gamma 90.00
_symmetry_space_group_name_H-M 'P 4/m m m'
_symmetry_Int_Tables_number 123
_symmetry_space_group_name_Hall '-P 4 2'
loop_
_atom_site_label
_atom_site_fract_x
_atom_site_fract_y
_atom_site_fract_z
_atom_site_occupancy
Na1 0.000 0.000 0.000 1
Pd1 0.500 0.500 0.500 1
Br1 0.000 0.500 0.500 1
F1 0.500 0.500 0.000 1
# * magnetic moment: 0.0 μB per cell
# * energy: -3.369 eV/atom

=====

# GGA-PBE HgPbAu, relaxed
data_HgPbAu
_chemical_formula_sum 'Hg4 Pb4 Au4'
_cell_length_a 6.714
_cell_length_b 5.971
_cell_length_c 8.122
_cell_angle_alpha 90.00
_cell_angle_beta 110.71
_cell_angle_gamma 90.00
_symmetry_space_group_name_H-M 'P 1 21/c 1'
_symmetry_Int_Tables_number 14
_symmetry_space_group_name_Hall '-P 2ybc'
loop_
_atom_site_label
_atom_site_fract_x
_atom_site_fract_y
_atom_site_fract_z
_atom_site_occupancy
Hg1 0.052 0.099 0.210 1
Pb1 0.343 0.629 0.133 1
Au1 0.332 0.149 0.006 1
# * magnetic moment: 0.0 μB per cell
# * relative energy among the computed polymorphs: 8 meV/atom
# * energy of formation from the pure elements: -3.55 kJ per mole of atoms

=====

# GGA-PBE NaUF2, relaxed
data_NaUF2
_chemical_formula_sum 'Na3 U3 F6'
_cell_length_a 3.1964
_cell_length_b 3.1964
_cell_length_c 24.3567
_cell_angle_alpha 90.00
_cell_angle_beta 90.00
_cell_angle_gamma 120.00
_symmetry_space_group_name_H-M 'R -3 m'
_symmetry_Int_Tables_number 166
_symmetry_space_group_name_Hall '-R 3 2"'
loop_
_atom_site_label
_atom_site_fract_x
_atom_site_fract_y
_atom_site_fract_z
_atom_site_occupancy
Na1 0.0000 0.0000 0.0000 1
U1 0.0000 0.0000 0.5000 1
F1 0.0000 0.0000 0.0966 1
# * magnetic moment: 7.0 μB per cell
# * energy: -6.035 eV/atom

=====

# GGA-PBE Li5NiPb6, relaxed
data_Li5NiPb6
_chemical_formula_sum 'Li10 Ni2 Pb12'
_cell_length_a 4.950
_cell_length_b 14.989
_cell_length_c 7.148
_cell_angle_alpha 90.00
_cell_angle_beta 90.00
_cell_angle_gamma 90.00
_symmetry_space_group_name_H-M 'C m m m'
_symmetry_Int_Tables_number 65
_symmetry_space_group_name_Hall '-C 2 2'
loop_
_atom_site_label
_atom_site_fract_x
_atom_site_fract_y
_atom_site_fract_z
_atom_site_occupancy
Li1 0.000 0.000 0.000 1
Li2 0.000 0.329 0.500 1
Li3 0.000 0.331 0.000 1
Ni1 0.000 0.000 0.500 1
Pb1 0.000 0.160 0.263 1
Pb2 0.000 0.500 0.267 1
# * magnetic moment: 0.0 μB per cell
# * energy of formation from the pure elements: -16.36 kJ per mole of atoms